Entry 1:
Pm2YSc | PBE | optimized geometry

## Properties
- E above lowest polymorph (eV/atom) = 0.150
- energy of formation (eV/f.u.) = 0.760

Unit cell a=3.392 b=5.700 c=13.077 alpha=90.00 beta=90.00 gamma=90.00
Space group Pmmn (No. 59, origin choice 2)
One atom of each set of equivalent atoms:
Pm  0.250  0.250  0.185 [2 per cell]
Pm  0.250  0.750  0.306 [2 per cell]
Y  0.250  0.750  0.570 [2 per cell]
Sc  0.250  0.750  0.041 [2 per cell]


Entry 2:
CsAgGeF6 | PBE | optimized geometry

## Properties
- E_form (uncorrected) (eV per atom) = -2.318

Unit cell a=6.013 b=10.440 c=5.939 alpha=90.00 beta=90.01 gamma=90.00
Space group C2 (No. 5)
One atom of each set of equivalent atoms:
Cs  0.000  0.000  0.000 [2 per cell]
Ag  0.000  0.333  0.500 [2 per cell]
Ge  0.000  0.665  0.500 [2 per cell]
F  0.114  0.538  0.319 [4 per cell]
F  0.126  0.788  0.319 [4 per cell]
F  0.245  0.169  0.328 [4 per cell]


Entry 3:
La2TcNi | PBE | optimized geometry

## Properties
- energy of formation (eV/f.u.) = 0.981

Unit cell a=6.597 b=3.619 c=8.207 alpha=90.00 beta=102.96 gamma=90.00
Space group C2/m (No. 12)
One atom of each set of equivalent atoms:
La  0.246  0.000  0.241 [4 per cell]
Tc  0.000  0.000  0.500 [2 per cell]
Ni  0.000  0.500  0.000 [2 per cell]


Entry 4:
ZnGa2Cl6 | PBE | optimized geometry

## Properties
- E_form (uncorrected) (eV per atom) = -0.866
- E above lowest polymorph (eV/atom) = 0.180

Unit cell a=18.006 b=11.785 c=6.079 alpha=90.00 beta=108.49 gamma=90.00
Space group C2/c (No. 15)
One atom of each set of equivalent atoms:
Zn  0.000  0.019  0.250 [4 per cell]
Ga  0.164  0.395  0.741 [8 per cell]
Cl  0.088  0.264  0.552 [8 per cell]
Cl  0.121  0.430  0.061 [8 per cell]
Cl  0.212  0.113  0.161 [8 per cell]


Entry 5:
Sr2PrNdS4 | PBE | optimized geometry

## Properties
- E_form (uncorrected) (eV per atom) = -2.050

Unit cell a=7.161 b=4.140 c=7.327 alpha=90.00 beta=109.05 gamma=90.00
Space group P2/m (No. 10)
One atom of each set of equivalent atoms:
Sr  0.000  0.000  0.000 [1 per cell]
Sr  0.500  0.500  0.000 [1 per cell]
Pr  0.000  0.500  0.500 [1 per cell]
Nd  0.500  0.000  0.500 [1 per cell]
S  0.249  0.000  0.742 [2 per cell]
S  0.254  0.500  0.259 [2 per cell]


Entry 6:
P2Br | PBE | optimized geometry

## Properties
- E_form (uncorrected) (eV per atom) = 0.660
- E above lowest polymorph (eV/atom) = 0.711

Unit cell a=6.307 b=6.307 c=7.458 alpha=90.00 beta=90.00 gamma=90.00
Space group I4/mcm (No. 140)
One atom of each set of equivalent atoms:
P  0.110  0.390  0.000 [8 per cell]
Br  0.000  0.000  0.250 [4 per cell]


It is found that the density of states at the Fermi level values, taken in the order of the records, are 17.4, 0.0, 6.2, 1.2, 3.4, 12.8 states/eV/cell.